## KRu3Pt (PBE-GGA)

Data for a geometry-optimized KRu3Pt structure.

raw total energy: -5.33 eV/atom
total moment: 1.18 μB per atom
E_form: 1.659 eV per atom
crystal system: cubic
Fermi-level density of states: 1.86 states/eV per atom
offset from the most stable computed form: 0 meV/atom

Lattice parameters (Å, degrees): 4.9435 4.9435 4.9435 90.00 90.00 90.00
Atoms (fractional coordinates):
Ru1 0.0000 0.0000 0.5000
Ru2 0.5000 0.0000 0.0000
Ru3 0.0000 0.5000 0.0000
K1 0.5000 0.5000 0.5000
Pt1 0.0000 0.0000 0.0000

=====

## DyZn2Ni9 (PBE-GGA)

Data for a geometry-optimized DyZn2Ni9 structure.

raw total energy: -4.94 eV/atom
total moment: 0.12 μB per atom
E_form: -0.012 eV per atom
crystal system: hexagonal
Fermi-level density of states: 1.48 states/eV per atom
offset from the most stable computed form: 215 meV/atom

Lattice parameters (Å, degrees): 2.6404 8.1040 8.1040 120.00 90.00 90.00
Atoms (fractional coordinates):
Ni1 0.5000 0.6367 0.8184
Ni2 0.5000 0.8184 0.1816
Ni3 0.0000 0.5000 0.0000
Ni4 0.5000 0.8184 0.6367
Ni5 0.5000 0.1816 0.3633
Ni6 0.0000 0.5000 0.5000
Ni7 0.0000 0.0000 0.5000
Ni8 0.5000 0.3633 0.1816
Ni9 0.5000 0.1816 0.8184
Dy1 0.0000 0.0000 0.0000
Zn1 0.0000 0.3333 0.6667
Zn2 0.0000 0.6667 0.3333

=====

## NdB2S4 (PBE-GGA)

Data for a geometry-optimized NdB2S4 structure.

raw total energy: -5.61 eV/atom
total moment: 0.00 μB per atom
uncorrected formation energy: -0.67 eV/atom
crystal system: tetragonal
Fermi-level density of states: 0.51 states/eV per atom

Lattice parameters (Å, degrees): 5.5977 5.5977 5.5977 101.64 101.64 126.63
Atoms (fractional coordinates):
Nd1 0.5000 0.5000 0.0000
S1 0.6702 0.8792 0.5494
S2 0.8792 0.3298 0.2090
S3 0.3298 0.1208 0.4506
S4 0.1208 0.6702 0.7910
B1 0.2500 0.7500 0.5000
B2 0.7500 0.2500 0.5000

=====

## Rb6TaBi4 (PBE-GGA)

Data for a geometry-optimized Rb6TaBi4 structure.

raw total energy: -3.24 eV/atom
total moment: 0.10 μB per atom
E_form: -0.220 eV per atom
crystal system: hexagonal
Fermi-level density of states: 1.18 states/eV per atom

Lattice parameters (Å, degrees): 9.2449 11.6396 11.6396 120.00 90.00 90.00
Atoms (fractional coordinates):
Rb1 0.9537 0.2883 0.1442
Rb2 0.6374 0.5295 0.0591
Rb3 0.4537 0.7117 0.8558
Rb4 0.1374 0.0591 0.5295
Rb5 0.1374 0.4705 0.9409
Rb6 0.9537 0.8558 0.7117
Rb7 0.4537 0.1442 0.8558
Rb8 0.4537 0.1442 0.2883
Rb9 0.6374 0.5295 0.4705
Rb10 0.6374 0.9409 0.4705
Rb11 0.9537 0.8558 0.1442
Rb12 0.1374 0.4705 0.5295
Ta1 0.2477 0.6667 0.3333
Ta2 0.7477 0.3333 0.6667
Bi1 0.4482 0.3333 0.6667
Bi2 0.8410 0.2019 0.7981
Bi3 0.8410 0.2019 0.4037
Bi4 0.8410 0.5963 0.7981
Bi5 0.3410 0.7981 0.2019
Bi6 0.3410 0.4037 0.2019
Bi7 0.3410 0.7981 0.5963
Bi8 0.9482 0.6667 0.3333

=====

## GaFe14Mo (PBE-GGA)

Data for a geometry-optimized GaFe14Mo structure.

raw total energy: -8.27 eV/atom
total moment: 1.90 μB per atom
E_form: 0.001 eV per atom
crystal system: orthorhombic
Fermi-level density of states: 0.83 states/eV per atom

Lattice parameters (Å, degrees): 4.9785 4.9785 8.0992 90.00 90.00 108.76
Atoms (fractional coordinates):
Fe1 0.8732 0.1268 0.2483
Fe2 0.8732 0.1268 0.7517
Fe3 0.3745 0.1242 0.7569
Fe4 0.1249 0.8751 0.0000
Fe5 0.8758 0.6255 0.2431
Fe6 0.1247 0.3750 0.5000
Fe7 0.1249 0.3752 0.0000
Fe8 0.3770 0.6230 0.7516
Fe9 0.8758 0.6255 0.7569
Fe10 0.6250 0.8753 0.5000
Fe11 0.6248 0.8751 0.0000
Fe12 0.3745 0.1242 0.2431
Fe13 0.3770 0.6230 0.2484
Fe14 0.6249 0.3751 0.0000
Mo1 0.1250 0.8750 0.5000
Ga1 0.6248 0.3752 0.5000

=====

## LaFe2Si2 (PBE-GGA)

Data for a geometry-optimized LaFe2Si2 structure.

raw total energy: -7.15 eV/atom
total moment: 0.00 μB per atom
uncorrected formation energy: -0.61 eV/atom
crystal system: tetragonal
Fermi-level density of states: 0.66 states/eV per atom

Lattice parameters (Å, degrees): 4.0526 4.0526 5.7223 69.26 69.26 90.00
Atoms (fractional coordinates):
Fe1 0.2500 0.7500 0.5000
Fe2 0.7500 0.2500 0.5000
La1 0.0000 0.0000 0.0000
Si1 0.6440 0.6440 0.7121
Si2 0.3560 0.3560 0.2879